Entry 1:
Th4RuAu | PBE | optimized geometry

Structure (CIF):
```
data_Th4RuAu
_chemical_formula_sum 'Th8 Ru2 Au2'
_space_group_name_H-M_alt 'P 4/m c c'
_space_group_IT_number 124
_space_group_name_Hall '-P 4 2c'
_cell_length_a 7.283
_cell_length_b 7.283
_cell_length_c 6.118
_cell_angle_alpha 90.00
_cell_angle_beta 90.00
_cell_angle_gamma 90.00
loop_
_atom_site_label
_atom_site_type_symbol
_atom_site_fract_x
_atom_site_fract_y
_atom_site_fract_z
Th1 Th 0.152 0.324 0.000
Ru1 Ru 0.000 0.000 0.250
Au1 Au 0.500 0.500 0.250
```

## Properties
Relative energy among the computed polymorphs, eV per atom: 0.000
Raw total energy, eV per atom: -7.45
Spin magnetization, μB/f.u.: 0.000
N(E_F), states/eV/f.u.: 6.64

Entry 2:
Th3RuAu | PBE | optimized geometry

Structure (CIF):
```
data_Th3RuAu
_chemical_formula_sum 'Th6 Ru2 Au2'
_space_group_name_H-M_alt 'P -1'
_space_group_IT_number 2
_space_group_name_Hall '-P 1'
_cell_length_a 3.963
_cell_length_b 6.291
_cell_length_c 11.656
_cell_angle_alpha 93.76
_cell_angle_beta 99.72
_cell_angle_gamma 108.32
loop_
_atom_site_label
_atom_site_type_symbol
_atom_site_fract_x
_atom_site_fract_y
_atom_site_fract_z
Th1 Th 0.000 0.234 0.267
Th2 Th 0.192 0.289 0.595
Th3 Th 0.201 0.781 0.122
Ru1 Ru 0.457 0.831 0.583
Au1 Au 0.464 0.342 0.086
```

## Properties
Raw total energy, eV per atom: -7.40
Spin magnetization, μB/f.u.: 0.000
N(E_F), states/eV/f.u.: 4.49

Entry 3:
Th6RuAu2 | PBE | optimized geometry

Structure (CIF):
```
data_Th6RuAu2
_chemical_formula_sum 'Th12 Ru2 Au4'
_space_group_name_H-M_alt 'P 1 21/c 1'
_space_group_IT_number 14
_space_group_name_Hall '-P 2ybc'
_cell_length_a 6.383
_cell_length_b 7.803
_cell_length_c 11.966
_cell_angle_alpha 90.00
_cell_angle_beta 119.95
_cell_angle_gamma 90.00
loop_
_atom_site_label
_atom_site_type_symbol
_atom_site_fract_x
_atom_site_fract_y
_atom_site_fract_z
Th1 Th 0.080 0.196 0.444
Th2 Th 0.304 0.662 0.446
Th3 Th 0.389 0.029 0.246
Ru1 Ru 0.500 0.000 0.500
Au1 Au 0.148 0.119 0.736
```

## Properties
Raw total energy, eV per atom: -7.05
Spin magnetization, μB/f.u.: 0.000
N(E_F), states/eV/f.u.: 11.25

Entry 4:
Th2Ru2Au | PBE | optimized geometry

Structure (CIF):
```
data_Th2Ru2Au
_chemical_formula_sum 'Th4 Ru4 Au2'
_space_group_name_H-M_alt 'P 4/m b m'
_space_group_IT_number 127
_space_group_name_Hall '-P 4 2ab'
_cell_length_a 7.586
_cell_length_b 7.586
_cell_length_c 3.780
_cell_angle_alpha 90.00
_cell_angle_beta 90.00
_cell_angle_gamma 90.00
loop_
_atom_site_label
_atom_site_type_symbol
_atom_site_fract_x
_atom_site_fract_y
_atom_site_fract_z
Th1 Th 0.171 0.329 0.000
Ru1 Ru 0.135 0.635 0.500
Au1 Au 0.000 0.000 0.500
```

## Properties
Raw total energy, eV per atom: -7.85
Spin magnetization, μB/f.u.: 0.000
N(E_F), states/eV/f.u.: 3.56

Entry 5:
Th3Ru2Au | PBE | optimized geometry

Structure (CIF):
```
data_Th3Ru2Au
_chemical_formula_sum 'Th12 Ru8 Au4'
_space_group_name_H-M_alt 'C 1 2/c 1'
_space_group_IT_number 15
_space_group_name_Hall '-C 2yc'
_cell_length_a 13.286
_cell_length_b 5.895
_cell_length_c 8.163
_cell_angle_alpha 90.00
_cell_angle_beta 107.96
_cell_angle_gamma 90.00
loop_
_atom_site_label
_atom_site_type_symbol
_atom_site_fract_x
_atom_site_fract_y
_atom_site_fract_z
Th1 Th 0.000 0.002 0.250
Th2 Th 0.186 0.500 0.093
Ru1 Ru 0.159 0.000 0.080
Au1 Au 0.000 0.498 0.750
```

## Properties
Raw total energy, eV per atom: -7.87
Spin magnetization, μB/f.u.: 0.000
N(E_F), states/eV/f.u.: 4.00

Entry 6:
Th7Ru2Au2 | PBE | optimized geometry

Structure (CIF):
```
data_Th7Ru2Au2
_chemical_formula_sum 'Th14 Ru4 Au4'
_space_group_name_H-M_alt 'I m m 2'
_space_group_IT_number 44
_space_group_name_Hall 'I 2 -2'
_cell_length_a 3.843
_cell_length_b 15.500
_cell_length_c 10.151
_cell_angle_alpha 90.00
_cell_angle_beta 90.00
_cell_angle_gamma 90.00
loop_
_atom_site_label
_atom_site_type_symbol
_atom_site_fract_x
_atom_site_fract_y
_atom_site_fract_z
Th1 Th 0.000 0.000 0.000
Th2 Th 0.000 0.126 0.411
Th3 Th 0.000 0.315 0.623
Th4 Th 0.000 0.358 0.264
Ru1 Ru 0.000 0.233 0.933
Au1 Au 0.000 0.000 0.658
Au2 Au 0.000 0.500 0.756
```

## Properties
Relative energy among the computed polymorphs, eV per atom: 0.000
Raw total energy, eV per atom: -7.43
Spin magnetization, μB/f.u.: 0.000
N(E_F), states/eV/f.u.: 13.65